{
  "formula": "TbPd2Au6",
  "functional": "PBE",
  "state": "optimized geometry",
  "spacegroup": "No. 12",
  "e_form_ev_per_atom": -0.240,
  "de_polymorph_ev_per_atom": 0.136,
  "magmom_total_mub_per_cell": 0.0,
  "lattice": [[-1.3712, 1.8256, 2.0536], [-3.8458, -5.5474, 4.7001], [3.1870, -2.8723, 7.0176]],
  "species": ["Au", "Au", "Au", "Au", "Au", "Au", "Pd", "Pd", "Tb"],
  "frac_coords": [[0.5000, 0.3269, 0.6730], [0.6729, 0.0021, 0.6496], [0.3271, 0.3504, 0.9979], [0.3271, 0.9979, 0.3504], [0.6729, 0.6496, 0.0021], [0.5000, 0.6730, 0.3269], [0.8485, 0.6498, 0.6498], [0.1515, 0.3502, 0.3502], [0.0000, 0.0000, 0.0000]]
}